Compound: PPt2Br
Source: the Alexandria database
Functional: PBE
Structure: optimized geometry

Properties
The magnetic moment comes out at 0.0 μB/f.u. Its volume is 23.78 A^3/atom. For the uncorrected formation energy, the calculation gives 0.1693 eV per atom.

abc: 5.636 5.636 5.636
angles: 146.27 94.55 95.10
Element x y z (fractional)
Br 0.750 0.250 0.500
P 0.250 0.750 0.500
Pt 0.043 0.043 0.000
Pt 0.457 0.457 0.000